# 1
Compound: HgAsCl2
Source: Alexandria via LeMat-Bulk
Functional: meta-GGA SCAN
Structure: single point on PBEsol structure

space group	Cmm2, No. 35
ΔE_f (raw)	-0.156	eV/atom

Cell: 3.665 3.569 8.610 Å, 90.00 90.00 120.89°
Positions (direct):
Cl1 0.000 0.000 0.945
Cl2 0.500 0.000 0.302
Hg1 0.000 0.000 0.509
As1 0.500 0.000 0.743

# 2
Compound: HgAsCl2
Source: Alexandria via LeMat-Bulk
Functional: meta-GGA SCAN
Structure: single point on PBEsol structure

space group	Cm, No. 8
ΔE_f (raw)	-0.272	eV/atom

Cell: 3.458 4.406 7.556 Å, 91.88 90.00 113.11°
Positions (direct):
Cl1 0.196 0.391 0.678
Cl2 0.964 0.927 0.046
As1 0.829 0.658 0.289
Hg1 0.512 0.024 0.487

# 3
Compound: Hg2AsCl
Source: Alexandria via LeMat-Bulk
Functional: meta-GGA SCAN
Structure: single point on PBEsol structure

space group	F-43m, No. 216
ΔE_f (raw)	0.313	eV/atom

Cell: 4.913 4.913 4.913 Å, 60.00 60.00 60.00°
Positions (direct):
Hg1 0.750 0.750 0.750
Hg2 0.000 0.000 0.000
Cl1 0.250 0.250 0.250
As1 0.500 0.500 0.500

# 4
Compound: Hg2AsCl
Source: Alexandria via LeMat-Bulk
Functional: meta-GGA SCAN
Structure: single point on PBEsol structure

space group	R-3m, No. 166
ΔE_f (raw)	-0.104	eV/atom

Cell: 4.050 4.050 7.033 Å, 73.27 73.27 60.00°
Positions (direct):
Hg1 0.761 0.761 0.716
Hg2 0.239 0.239 0.284
Cl1 0.000 0.000 0.000
As1 0.500 0.500 0.500

# 5
Compound: HgAs2Cl
Source: Alexandria via LeMat-Bulk
Functional: meta-GGA SCAN
Structure: single point on PBEsol structure

space group	Cmm2, No. 35
ΔE_f (raw)	0.154	eV/atom

Cell: 3.304 3.304 8.444 Å, 90.00 90.00 112.77°
Positions (direct):
As1 0.500 0.500 0.774
As2 0.000 0.000 0.983
Hg1 0.500 0.500 0.254
Cl1 0.000 0.000 0.489

# 6
Compound: Hg2AsCl
Source: Alexandria via LeMat-Bulk
Functional: meta-GGA SCAN
Structure: single point on PBEsol structure

space group	I-42d, No. 122
ΔE_f (raw)	-0.228	eV/atom

Cell: 5.992 5.992 7.864 Å, 112.39 112.39 90.00°
Positions (direct):
Hg1 0.625 0.677 0.750
Hg2 0.927 0.375 0.250
Hg3 0.125 0.073 0.750
Hg4 0.323 0.875 0.250
Cl1 0.500 0.500 0.000
Cl2 0.750 0.250 0.500
As1 0.000 0.000 0.000
As2 0.250 0.750 0.500

# 7
Compound: Hg2AsIrCl
Source: Alexandria via LeMat-Bulk
Functional: meta-GGA SCAN
Structure: single point on PBEsol structure

space group	P4/mmm, No. 123
ΔE_f (raw)	0.487	eV/atom

Cell: 4.557 5.250 5.250 Å, 90.00 90.00 90.00°
Positions (direct):
As1 0.000 0.000 0.000
Ir1 0.500 0.000 0.000
Cl1 0.500 0.500 0.500
Hg1 0.000 0.500 0.000
Hg2 0.000 0.000 0.500

# 8
Compound: Hg6MoAs4Cl7
Source: Alexandria via LeMat-Bulk
Functional: meta-GGA SCAN
Structure: single point on PBEsol structure

space group	Pa-3, No. 205
ΔE_f (raw)	-0.577	eV/atom

Cell: 12.104 12.104 12.104 Å, 90.00 90.00 90.00°
Positions (direct):
Hg1 0.550 0.681 0.201
Hg2 0.181 0.201 0.950
Hg3 0.181 0.299 0.450
Hg4 0.050 0.819 0.799
Hg5 0.681 0.299 0.050
Hg6 0.799 0.050 0.819
Hg7 0.550 0.819 0.701
Hg8 0.450 0.181 0.299
Hg9 0.681 0.201 0.550
Hg10 0.950 0.181 0.201
Hg11 0.950 0.319 0.701
Hg12 0.299 0.450 0.181
Hg13 0.819 0.799 0.050
Hg14 0.799 0.450 0.319
Hg15 0.450 0.319 0.799
Hg16 0.819 0.701 0.550
Hg17 0.319 0.799 0.450
Hg18 0.701 0.950 0.319
Hg19 0.201 0.550 0.681
Hg20 0.201 0.950 0.181
Hg21 0.319 0.701 0.950
Hg22 0.299 0.050 0.681
Hg23 0.050 0.681 0.299
Hg24 0.701 0.550 0.819
Cl1 0.690 0.039 0.046
Cl2 0.961 0.954 0.310
Cl3 0.961 0.546 0.810
Cl4 0.039 0.046 0.690
Cl5 0.454 0.190 0.039
Cl6 0.454 0.310 0.539
Cl7 0.546 0.810 0.961
Cl8 0.000 0.000 0.000
Cl9 0.500 0.000 0.500
Cl10 0.039 0.454 0.190
Cl11 0.310 0.539 0.454
Cl12 0.000 0.500 0.500
Cl13 0.046 0.810 0.539
Cl14 0.539 0.046 0.810
Cl15 0.190 0.461 0.954
Cl16 0.046 0.690 0.039
Cl17 0.954 0.190 0.461
Cl18 0.690 0.461 0.546
Cl19 0.310 0.961 0.954
Cl20 0.810 0.539 0.046
Cl21 0.190 0.039 0.454
Cl22 0.461 0.546 0.690
Cl23 0.810 0.961 0.546
Cl24 0.500 0.500 0.000
Cl25 0.546 0.690 0.461
Cl26 0.954 0.310 0.961
Cl27 0.461 0.954 0.190
Cl28 0.539 0.454 0.310
As1 0.237 0.763 0.263
As2 0.763 0.263 0.237
As3 0.353 0.647 0.147
As4 0.263 0.263 0.263
As5 0.647 0.353 0.853
As6 0.853 0.647 0.353
As7 0.353 0.853 0.647
As8 0.147 0.147 0.147
As9 0.853 0.853 0.853
As10 0.763 0.237 0.737
As11 0.237 0.737 0.763
As12 0.737 0.737 0.737
As13 0.647 0.147 0.353
As14 0.147 0.353 0.647
As15 0.263 0.237 0.763
As16 0.737 0.763 0.237
Mo1 0.000 0.500 0.000
Mo2 0.500 0.500 0.500
Mo3 0.000 0.000 0.500
Mo4 0.500 0.000 0.000

# 9
Compound: Hg3AsClO4
Source: Alexandria via LeMat-Bulk
Functional: meta-GGA SCAN
Structure: single point on PBEsol structure

space group	P2_13, No. 198
ΔE_f (raw)	-0.807	eV/atom

Cell: 8.462 8.462 8.462 Å, 90.00 90.00 90.00°
Positions (direct):
Hg1 0.647 0.449 0.399
Hg2 0.449 0.399 0.647
Hg3 0.051 0.601 0.147
Hg4 0.551 0.899 0.853
Hg5 0.853 0.551 0.899
Hg6 0.899 0.853 0.551
Hg7 0.147 0.051 0.601
Hg8 0.949 0.101 0.353
Hg9 0.101 0.353 0.949
Hg10 0.353 0.949 0.101
Hg11 0.399 0.647 0.449
Hg12 0.601 0.147 0.051
As1 0.521 0.021 0.479
As2 0.479 0.521 0.021
As3 0.979 0.979 0.979
As4 0.021 0.479 0.521
O1 0.871 0.104 0.100
O2 0.863 0.863 0.863
O3 0.637 0.137 0.363
O4 0.100 0.871 0.104
O5 0.400 0.129 0.604
O6 0.629 0.896 0.600
O7 0.104 0.100 0.871
O8 0.129 0.604 0.400
O9 0.900 0.371 0.396
O10 0.600 0.629 0.896
O11 0.363 0.637 0.137
O12 0.396 0.900 0.371
O13 0.896 0.600 0.629
O14 0.371 0.396 0.900
O15 0.137 0.363 0.637
O16 0.604 0.400 0.129
Cl1 0.270 0.770 0.730
Cl2 0.730 0.270 0.770
Cl3 0.770 0.730 0.270
Cl4 0.230 0.230 0.230

# 10
Compound: HgAsSCl2
Source: Alexandria via LeMat-Bulk
Functional: meta-GGA SCAN
Structure: single point on PBEsol structure

space group	P4/mmm, No. 123
ΔE_f (raw)	-0.075	eV/atom

Cell: 4.827 4.827 4.973 Å, 90.00 90.00 90.00°
Positions (direct):
Hg1 0.500 0.500 0.500
As1 0.000 0.000 0.000
S1 0.000 0.000 0.500
Cl1 0.500 0.000 0.000
Cl2 0.000 0.500 0.000

# 11
Compound: HgAsS2Cl
Source: Alexandria via LeMat-Bulk
Functional: meta-GGA SCAN
Structure: single point on PBEsol structure

space group	P4/mmm, No. 123
ΔE_f (raw)	0.819	eV/atom

Cell: 4.926 4.926 4.893 Å, 90.00 90.00 90.00°
Positions (direct):
Hg1 0.000 0.000 0.000
Cl1 0.000 0.000 0.500
S1 0.500 0.000 0.000
S2 0.000 0.500 0.000
As1 0.500 0.500 0.500

# 12
Compound: Hg3AsS4Cl
Source: Alexandria via LeMat-Bulk
Functional: meta-GGA SCAN
Structure: single point on PBEsol structure

space group	P6_3mc, No. 186
ΔE_f (raw)	-0.269	eV/atom

Cell: 7.446 7.446 8.882 Å, 90.00 90.00 120.00°
Positions (direct):
Hg1 0.497 0.993 0.255
Hg2 0.503 0.007 0.755
Hg3 0.503 0.497 0.755
Hg4 0.993 0.497 0.755
Hg5 0.497 0.503 0.255
Hg6 0.007 0.503 0.255
S1 0.703 0.851 0.635
S2 0.851 0.149 0.135
S3 0.667 0.333 0.897
S4 0.149 0.851 0.635
S5 0.851 0.703 0.135
S6 0.333 0.667 0.397
S7 0.149 0.297 0.635
S8 0.297 0.149 0.135
As1 0.000 0.000 0.276
As2 0.000 0.000 0.776
Cl1 0.667 0.333 0.470
Cl2 0.333 0.667 0.970

- What is the ΔE_f (raw) in the eighth record?
  -0.577 eV/atom

Repeat the sixth record exactly.
Compound: Hg2AsCl
Source: Alexandria via LeMat-Bulk
Functional: meta-GGA SCAN
Structure: single point on PBEsol structure

space group	I-42d, No. 122
ΔE_f (raw)	-0.228	eV/atom

Cell: 5.992 5.992 7.864 Å, 112.39 112.39 90.00°
Positions (direct):
Hg1 0.625 0.677 0.750
Hg2 0.927 0.375 0.250
Hg3 0.125 0.073 0.750
Hg4 0.323 0.875 0.250
Cl1 0.500 0.500 0.000
Cl2 0.750 0.250 0.500
As1 0.000 0.000 0.000
As2 0.250 0.750 0.500